Compound: K3PaAs2O9
Source: Alexandria
Functional: GGA-PBE
Structure: relaxed

Geometry as POSCAR:
```
K3PaAs2O9
1.0
5.646 0.000 0.000
-2.823 4.889 0.000
0.000 0.000 6.961
As O K Pa
2 9 3 1
direct
0.333 0.667 0.158
0.667 0.333 0.842
0.500 0.500 0.000
0.821 0.179 0.684
0.643 0.821 0.316
0.179 0.821 0.316
0.821 0.643 0.684
0.000 0.500 0.000
0.179 0.357 0.316
0.500 0.000 0.000
0.357 0.179 0.684
0.333 0.667 0.682
0.000 0.000 0.000
0.667 0.333 0.318
0.000 0.000 0.500
```

The value obtained for the density of states at the Fermi level is 4.40 states/eV per cell. For the formation energy without anion corrections, the calculation gives -1.86 eV per atom.